VASP calculation (PBE) on a relaxed Y8Ho2Th3 crystal.

a = 22.9228 Å, b = 6.8141 Å, c = 5.6555 Å
α = 90.00°, β = 104.24°, γ = 90.00°
Space group C2/m (No. 12)
Symmetry-distinct sites (fractional):
Y1 0.0751 0.0000 0.0753
Y2 0.1510 0.2383 0.6517
Y3 0.1852 0.5000 0.1856
Ho1 0.2235 0.0000 0.2237
Th1 0.0000 0.2319 0.5000
Th2 0.0000 0.5000 0.0000

Computed properties:
- energy of formation from the pure elements (eV per formula unit) = 2.100

---

VASP calculation (PBE) on a relaxed RbHgI2F crystal.

a = 7.6838 Å, b = 4.6699 Å, c = 11.5193 Å
α = 90.00°, β = 109.37°, γ = 90.00°
Space group P2_1/m (No. 11)
Symmetry-distinct sites (fractional):
Rb1 0.1767 0.2500 0.2833
Hg1 0.3878 0.2500 0.7672
I1 0.2086 0.2500 0.9322
I2 0.2625 0.7500 0.5959
F1 0.3364 0.7500 0.2512

Computed properties:
- formation energy without anion corrections (meV/atom) = -1200

---

VASP calculation (PBE) on a relaxed Er4Co2I5 crystal.

a = 22.5251 Å, b = 4.0348 Å, c = 8.3982 Å
α = 90.00°, β = 94.78°, γ = 90.00°
Space group C2/m (No. 12)
Symmetry-distinct sites (fractional):
Er1 0.0272 0.0000 0.1967
Er2 0.1556 0.5000 0.0735
Co1 0.0485 0.5000 0.9989
I1 0.0000 0.5000 0.5000
I2 0.1610 0.0000 0.3499
I3 0.1944 0.0000 0.8294

Computed properties:
- formation energy without anion corrections (meV/atom) = -722

---

VASP calculation (PBE) on a relaxed HgPOs crystal.

a = 2.9958 Å, b = 5.0858 Å, c = 15.1456 Å
α = 90.00°, β = 90.00°, γ = 90.00°
Space group Fmm2 (No. 42)
Symmetry-distinct sites (fractional):
Hg1 0.0000 0.0000 0.0000
P1 0.0000 0.0000 0.2803
Os1 0.0000 0.0000 0.6689

Computed properties:
- energy of formation from the pure elements (eV per formula unit) = 1.468

---

VASP calculation (PBE) on a relaxed ZrZn11Pd crystal.

a = 5.1829 Å, b = 12.4119 Å, c = 6.7009 Å
α = 90.00°, β = 112.24°, γ = 90.00°
Space group C2/m (No. 12)
Symmetry-distinct sites (fractional):
Zr1 0.0000 0.0000 0.0000
Zn1 0.0000 0.5000 0.5000
Zn2 0.1026 0.3938 0.2101
Zn3 0.1676 0.1746 0.3499
Zn4 0.2500 0.2500 0.0000
Pd1 0.0000 0.0000 0.5000

Computed properties:
- energy of formation from the pure elements (eV per formula unit) = -2.459

---

VASP calculation (PBE) on a relaxed CaLaTm2 crystal.

a = 3.6151 Å, b = 3.6151 Å, c = 35.9644 Å
α = 90.00°, β = 90.00°, γ = 120.00°
Space group R3m (No. 160, hexagonal axes)
Symmetry-distinct sites (fractional):
Ca1 0.0000 0.0000 0.0000
La1 0.0000 0.0000 0.1657
Tm1 0.0000 0.0000 0.5798
Tm2 0.0000 0.0000 0.7526

Computed properties:
- energy of formation from the pure elements (eV per formula unit) = 0.311

---

VASP calculation (PBE) on a relaxed EuThIrPd crystal.

a = 7.1462 Å, b = 7.1462 Å, c = 7.1462 Å
α = 90.00°, β = 90.00°, γ = 90.00°
Space group F-43m (No. 216)
Symmetry-distinct sites (fractional):
Eu1 0.0000 0.0000 0.0000
Th1 0.0000 0.0000 0.5000
Ir1 0.2500 0.2500 0.2500
Pd1 0.2500 0.2500 0.7500

Computed properties:
- energy of formation from the pure elements (eV per formula unit) = -2.624

---

VASP calculation (PBE) on a relaxed ZrZnMo2S crystal.

a = 4.7847 Å, b = 4.7847 Å, c = 4.2436 Å
α = 90.00°, β = 90.00°, γ = 90.00°
Space group P4/mmm (No. 123)
Symmetry-distinct sites (fractional):
Zr1 0.0000 0.0000 0.0000
Zn1 0.5000 0.5000 0.5000
Mo1 0.0000 0.5000 0.5000
S1 0.5000 0.5000 0.0000

Computed properties:
- formation energy without anion corrections (meV/atom) = 1252

---

VASP calculation (PBE) on a relaxed K2Mn crystal.

a = 13.6815 Å, b = 3.6771 Å, c = 10.9596 Å
α = 90.00°, β = 101.08°, γ = 90.00°
Space group Cm (No. 8)
Symmetry-distinct sites (fractional):
K1 0.0000 0.0000 0.0000
K2 0.0699 0.0000 0.4685
K3 0.2178 0.5000 0.8049
K4 0.2918 0.0000 0.2453
Mn1 0.3231 0.5000 0.5398
Mn2 0.4301 0.0000 0.6908

Computed properties:
- energy of formation from the pure elements (eV per formula unit) = 2.026

---

VASP calculation (PBE) on a relaxed HgSbSe2 crystal.

a = 4.2032 Å, b = 4.2156 Å, c = 6.0067 Å
α = 90.00°, β = 90.00°, γ = 90.00°
Space group Pmm2 (No. 25)
Symmetry-distinct sites (fractional):
Hg1 0.0000 0.0000 0.0000
Sb1 0.5000 0.5000 0.4924
Se1 0.0000 0.0000 0.5186
Se2 0.5000 0.5000 0.0591

Computed properties:
- formation energy without anion corrections (meV/atom) = -126

---

VASP calculation (PBE) on a relaxed RbLa2SiC crystal.

a = 5.6256 Å, b = 5.6256 Å, c = 5.1096 Å
α = 90.00°, β = 90.00°, γ = 90.00°
Space group P4/mmm (No. 123)
Symmetry-distinct sites (fractional):
Rb1 0.0000 0.0000 0.0000
La1 0.0000 0.5000 0.0000
Si1 0.0000 0.0000 0.5000
C1 0.5000 0.5000 0.5000

Computed properties:
- formation energy without anion corrections (meV/atom) = 2408

---

VASP calculation (PBE) on a relaxed ReTe3 crystal.

a = 5.7408 Å, b = 5.7408 Å, c = 5.7408 Å
α = 90.00°, β = 90.00°, γ = 90.00°
Space group Pm-3n (No. 223)
Symmetry-distinct sites (fractional):
Re1 0.0000 0.0000 0.0000
Te1 0.0000 0.2500 0.5000

Computed properties:
- formation energy without anion corrections (meV/atom) = 1123

---

We obtain magnetization values of 0.00, 0.00, 0.00, 0.00, 0.00, 0.00, 7.01, 0.91, 4.20, 0.00, 1.68, 0.00 μB/f.u. for the records listed above, in that order.